# Rb3Sc3SnTe8 (PBE, optimized geometry)
# ΔE_f (raw): -1.01 eV per atom
# Uncorrected energy: -4.4159 eV/atom
data_Rb3Sc3SnTe8
_cell_length_a 14.823
_cell_length_b 8.523
_cell_length_c 10.029
_cell_angle_alpha 90.00
_cell_angle_beta 119.63
_cell_angle_gamma 90.00
_space_group_name_H-M_alt 'C 1 2/m 1'
_space_group_IT_number 12
_space_group_name_Hall '-C 2y'
loop_
_atom_site_label
_atom_site_type_symbol
_atom_site_fract_x
_atom_site_fract_y
_atom_site_fract_z
Rb1 Rb 0.000 0.000 0.000
Rb2 Rb 0.250 0.250 0.000
Sc1 Sc 0.000 0.500 0.500
Sc2 Sc 0.250 0.250 0.500
Sn1 Sn 0.000 0.000 0.500
Te1 Te 0.022 0.258 0.309
Te2 Te 0.230 0.500 0.691
Te3 Te 0.236 0.000 0.691